# PBE AcY3C, optimized geometry
# - ΔE_f (eV/atom) = 0.029
# - N(E_F) (states/eV per atom) = 1.110
data_AcY3C
_space_group_name_H-M_alt 'P m -3 m'
_space_group_IT_number 221
_space_group_name_Hall '-P 4 2 3'
_cell_length_a 5.148
_cell_length_b 5.148
_cell_length_c 5.148
_cell_angle_alpha 90.00
_cell_angle_beta 90.00
_cell_angle_gamma 90.00
loop_
_atom_site_label
_atom_site_type_symbol
_atom_site_fract_x
_atom_site_fract_y
_atom_site_fract_z
_atom_site_occupancy
Ac1 Ac 0.000 0.000 0.000 1
Y1 Y 0.000 0.500 0.500 1
C1 C 0.500 0.500 0.500 1